Record 1
Entry from Alexandria via LeMat-Bulk: a relaxed structure of BaRePb3 (PBE-GGA).

Cell lengths 6.0220, 6.0220, 6.0220 Å; angles 90.00, 90.00, 90.00 degrees
Space group Pm-3m (No. 221)
Unique sites:
Ba 0.0000 0.0000 0.0000 x1
Re 0.5000 0.5000 0.5000 x1
Pb 0.0000 0.0000 0.5000 x3

Properties
ΔH_f (0 K) in eV per atom: 2.458
Polymorph energy (0 for the lowest one) in meV per atom: 2158.5



Record 2
Entry from Alexandria via LeMat-Bulk: a relaxed structure of BaRe2Pb (PBE-GGA).

Cell lengths 8.3012, 8.3012, 5.9532 Å; angles 90.00, 90.00, 90.00 degrees
Space group I-42d (No. 122)
Unique sites:
Ba 0.0000 0.0000 0.0000 x4
Re 0.2029 0.2500 0.6250 x8
Pb 0.0000 0.0000 0.5000 x4

Properties
ΔH_f (0 K) in eV per atom: 1.864



Record 3
Entry from Alexandria via LeMat-Bulk: a relaxed structure of BaRe2RhPb (PBE-GGA).

Cell lengths 5.2206, 5.2206, 5.0546 Å; angles 90.00, 90.00, 90.00 degrees
Space group P4/mmm (No. 123)
Unique sites:
Ba 0.0000 0.0000 0.0000 x1
Re 0.0000 0.5000 0.0000 x2
Rh 0.0000 0.0000 0.5000 x1
Pb 0.5000 0.5000 0.5000 x1

Properties
ΔH_f (0 K) in eV per atom: 2.935



Record 4
Entry from Alexandria via LeMat-Bulk: a relaxed structure of Ba2ReSnPb (PBE-GGA).

Cell lengths 6.6199, 6.6199, 5.5534 Å; angles 90.00, 90.00, 90.00 degrees
Space group P4/mmm (No. 123)
Unique sites:
Ba 0.0000 0.5000 0.0000 x2
Re 0.0000 0.0000 0.5000 x1
Sn 0.5000 0.5000 0.0000 x1
Pb 0.5000 0.5000 0.5000 x1

Properties
ΔH_f (0 K) in eV per atom: 1.181



Record 5
Entry from Alexandria via LeMat-Bulk: a relaxed structure of BaTiRePb2 (PBE-GGA).

Cell lengths 5.4779, 5.4779, 4.8418 Å; angles 90.00, 90.00, 90.00 degrees
Space group P4/mmm (No. 123)
Unique sites:
Ba 0.0000 0.0000 0.0000 x1
Ti 0.5000 0.5000 0.5000 x1
Re 0.5000 0.5000 0.0000 x1
Pb 0.0000 0.5000 0.5000 x2

Properties
ΔH_f (0 K) in eV per atom: 0.518



Record 6
Entry from Alexandria via LeMat-Bulk: a relaxed structure of Ba3Rh3Pb (PBE-GGA).

Cell lengths 4.6449, 11.7981, 14.6704 Å; angles 90.00, 90.00, 90.00 degrees
Space group Cmcm (No. 63)
Unique sites:
Ba 0.0000 0.0027 0.2500 x4
Ba 0.0000 0.2817 0.6092 x8
Rh 0.0000 0.3191 0.2500 x4
Rh 0.0000 0.4317 0.0903 x8
Pb 0.0000 0.0000 0.0000 x4

Properties
ΔH_f (0 K) in eV per atom: -0.261



Record 7
Entry from Alexandria via LeMat-Bulk: a relaxed structure of BaRh2Pb (PBE-GGA).

Cell lengths 4.8493, 4.8493, 3.7738 Å; angles 90.00, 90.00, 90.00 degrees
Space group P4/mmm (No. 123)
Unique sites:
Ba 0.0000 0.0000 0.0000 x1
Rh 0.0000 0.5000 0.5000 x2
Pb 0.5000 0.5000 0.0000 x1

Properties
ΔH_f (0 K) in eV per atom: 0.064



Record 8
Entry from Alexandria via LeMat-Bulk: a relaxed structure of BaRhPb (PBE-GGA).

Cell lengths 3.6728, 3.6728, 12.2583 Å; angles 90.00, 90.00, 90.00 degrees
Space group I4mm (No. 107)
Unique sites:
Ba 0.0000 0.0000 0.0000 x2
Rh 0.0000 0.0000 0.3140 x2
Pb 0.0000 0.0000 0.7183 x2

Properties
ΔH_f (0 K) in eV per atom: -0.210



Record 9
Entry from Alexandria via LeMat-Bulk: a relaxed structure of BaRh2Pb (PBE-GGA).

Cell lengths 7.2304, 7.2304, 7.2304 Å; angles 90.00, 90.00, 90.00 degrees
Space group F-43m (No. 216)
Unique sites:
Ba 0.0000 0.0000 0.0000 x4
Rh 0.0000 0.0000 0.5000 x4
Rh 0.2500 0.2500 0.7500 x4
Pb 0.2500 0.2500 0.2500 x4

Properties
ΔH_f (0 K) in eV per atom: 0.415



Record 10
Entry from Alexandria via LeMat-Bulk: a relaxed structure of Ba4RhPb2 (PBE-GGA).

Cell lengths 5.9648, 5.9648, 17.1278 Å; angles 90.00, 90.00, 90.00 degrees
Space group I4/mmm (No. 139)
Unique sites:
Ba 0.0000 0.0000 0.1780 x4
Ba 0.0000 0.5000 0.0000 x4
Rh 0.0000 0.0000 0.0000 x2
Pb 0.0000 0.0000 0.3805 x4

Properties
ΔH_f (0 K) in eV per atom: -0.283



Record 11
Entry from Alexandria via LeMat-Bulk: a relaxed structure of BaRhPb (PBE-GGA).

Cell lengths 7.1490, 7.1490, 7.1490 Å; angles 90.00, 90.00, 90.00 degrees
Space group F-43m (No. 216)
Unique sites:
Ba 0.0000 0.0000 0.0000 x4
Rh 0.2500 0.2500 0.7500 x4
Pb 0.0000 0.0000 0.5000 x4

Properties
ΔH_f (0 K) in eV per atom: -0.142



Record 12
Entry from Alexandria via LeMat-Bulk: a relaxed structure of BaRhPb (PBE-GGA).

Cell lengths 6.9515, 7.2725, 8.7839 Å; angles 90.00, 123.81, 90.00 degrees
Space group P2_1/c (No. 14)
Unique sites:
Ba 0.2087 0.1429 0.4223 x4
Rh 0.3703 0.5984 0.3251 x4
Pb 0.2767 0.6345 0.5849 x4

Properties
ΔH_f (0 K) in eV per atom: -0.396



Record 13
Entry from Alexandria via LeMat-Bulk: a relaxed structure of BaRh2Pb (PBE-GGA).

Cell lengths 4.4668, 4.4668, 18.5126 Å; angles 90.00, 90.00, 120.00 degrees
Space group R3m (No. 160, hexagonal axes)
Unique sites:
Ba 0.0000 0.0000 0.0000 x3
Rh 0.0000 0.0000 0.2133 x3
Rh 0.0000 0.0000 0.5414 x3
Pb 0.0000 0.0000 0.8061 x3

Properties
ΔH_f (0 K) in eV per atom: -0.246



Record 14
Entry from Alexandria via LeMat-Bulk: a relaxed structure of BaRh2Pb (PBE-GGA).

Cell lengths 4.1371, 4.1371, 10.5459 Å; angles 90.00, 90.00, 90.00 degrees
Space group I-4m2 (No. 119)
Unique sites:
Ba 0.0000 0.0000 0.0000 x2
Rh 0.0000 0.0000 0.5000 x2
Rh 0.0000 0.5000 0.2500 x2
Pb 0.0000 0.5000 0.7500 x2

Properties
ΔH_f (0 K) in eV per atom: 0.167



Record 15
Entry from Alexandria via LeMat-Bulk: a relaxed structure of Ba12Rh5Pb3 (PBE-GGA).

Cell lengths 19.0947, 19.0947, 19.0947 Å; angles 90.00, 90.00, 90.00 degrees
Space group Ia-3d (No. 230)
Unique sites:
Ba 0.0292 0.0569 0.6500 x96
Rh 0.0000 0.0000 0.0000 x16
Rh 0.0000 0.2500 0.3750 x24
Pb 0.0000 0.2500 0.1250 x24

Properties
ΔH_f (0 K) in eV per atom: -0.143



Record 16
Entry from Alexandria via LeMat-Bulk: a relaxed structure of BaRhPb3 (PBE-GGA).

Cell lengths 9.7016, 4.8177, 12.3723 Å; angles 90.00, 90.00, 90.00 degrees
Space group Pnma (No. 62)
Unique sites:
Ba 0.1935 0.2500 0.0112 x4
Rh 0.0765 0.2500 0.3449 x4
Pb 0.0647 0.2500 0.5810 x4
Pb 0.1279 0.7500 0.2152 x4
Pb 0.1371 0.7500 0.8024 x4

Properties
ΔH_f (0 K) in eV per atom: -0.333



Record 17
Entry from Alexandria via LeMat-Bulk: a relaxed structure of Ba6Rh2Pb (PBE-GGA).

Cell lengths 10.7873, 10.9937, 11.9160 Å; angles 90.00, 90.00, 90.00 degrees
Space group Immm (No. 71)
Unique sites:
Ba 0.0000 0.2052 0.2326 x8
Ba 0.1865 0.5000 0.1695 x8
Ba 0.2058 0.3194 0.5000 x8
Rh 0.0000 0.3644 0.0000 x4
Rh 0.0000 0.5000 0.3848 x4
Pb 0.0000 0.0000 0.0000 x2
Pb 0.0000 0.0000 0.5000 x2

Properties
ΔH_f (0 K) in eV per atom: -0.252



Record 18
Entry from Alexandria via LeMat-Bulk: a relaxed structure of Ba2RhPb8 (PBE-GGA).

Cell lengths 5.0503, 5.0503, 13.3970 Å; angles 90.00, 90.00, 90.00 degrees
Space group P4/mmm (No. 123)
Unique sites:
Ba 0.0000 0.0000 0.1984 x2
Rh 0.0000 0.0000 0.5000 x1
Pb 0.0000 0.5000 0.0000 x2
Pb 0.0000 0.5000 0.3845 x4
Pb 0.5000 0.5000 0.1871 x2

Properties
ΔH_f (0 K) in eV per atom: -0.269



Record 19
Entry from Alexandria via LeMat-Bulk: a relaxed structure of Ba4RhPb (PBE-GGA).

Cell lengths 9.8291, 9.8291, 9.8291 Å; angles 90.00, 90.00, 90.00 degrees
Space group F-43m (No. 216)
Unique sites:
Ba 0.1252 0.1252 0.1252 x16
Rh 0.0000 0.0000 0.5000 x4
Pb 0.2500 0.2500 0.7500 x4

Properties
ΔH_f (0 K) in eV per atom: 0.579
Polymorph energy (0 for the lowest one) in meV per atom: 886.3



Record 20
Entry from Alexandria via LeMat-Bulk: a relaxed structure of Ba6RhPb2 (PBE-GGA).

Cell lengths 8.1356, 8.8872, 14.1675 Å; angles 90.00, 124.58, 90.00 degrees
Space group P2_1/c (No. 14)
Unique sites:
Ba 0.1399 0.1768 0.4478 x4
Ba 0.2695 0.6991 0.4457 x4
Ba 0.3524 0.0272 0.2510 x4
Rh 0.5000 0.0000 0.5000 x2
Pb 0.2263 0.0868 0.7515 x4

Properties
ΔH_f (0 K) in eV per atom: -0.391